1.
DFT (PBE) results for a relaxed ScAsPdO crystal.

total energy: -55.27 eV/cell
size of the total moment: 0.0005 μB/atom

Lattice parameters (Å, degrees): 3.9561 3.9561 7.8656 90.00 90.00 90.00
Closest atoms and distances in Å follow each position.
Space group P4/nmm (No. 129, origin choice 2)
Asymmetric unit:
Sc  0.2500  0.2500  0.1101 (multiplicity 2)  4 O 2.16
As  0.2500  0.2500  0.6930 (multiplicity 2)  4 Pd 2.49
Pd  0.2500  0.7500  0.5000 (multiplicity 2)  4 As 2.49
O  0.2500  0.7500  0.0000 (multiplicity 2)  4 Sc 2.16


2.
DFT (PBE) results for a relaxed ScAsPdO crystal.

total energy: -48.98 eV/cell
size of the total moment: 0.0001 μB/atom

Lattice parameters (Å, degrees): 5.2994 5.2994 4.6602 90.00 90.00 90.00
Closest atoms and distances in Å follow each position.
Space group P4/nmm (No. 129, origin choice 2)
Asymmetric unit:
Sc  0.2500  0.7500  0.0000 (multiplicity 2)  2 O 2.33
As  0.2500  0.2500  0.0055 (multiplicity 2)  2 Pd 2.33
Pd  0.2500  0.2500  0.5052 (multiplicity 2)  2 As 2.33
O  0.2500  0.7500  0.5000 (multiplicity 2)  2 Sc 2.33


3.
DFT (PBE) results for a relaxed ScAsPdO crystal.

total energy: -53.60 eV/cell
size of the total moment: 0.0001 μB/atom

Lattice parameters (Å, degrees): 5.3562 5.1307 4.6937 90.00 90.00 90.00
Closest atoms and distances in Å follow each position.
Space group Pmc2_1 (No. 26)
Asymmetric unit:
Sc  0.0000  0.2055  0.0000 (multiplicity 2)  2 O 1.96-2.03
As  0.5000  0.3390  0.8679 (multiplicity 2)  4 Pd 2.51-2.59
Pd  0.5000  0.1565  0.3643 (multiplicity 2)  4 As 2.51-2.59, 2 O 2.70
O  0.0000  0.1717  0.4315 (multiplicity 2)  2 Sc 1.96-2.03


4.
DFT (PBE) results for a relaxed ScAsPdO crystal.

total energy: -53.10 eV/cell
size of the total moment: 0.0002 μB/atom

Lattice parameters (Å, degrees): 3.3532 7.6564 5.3874 90.00 90.00 90.00
Closest atoms and distances in Å follow each position.
Space group Pmc2_1 (No. 26)
Asymmetric unit:
Sc  0.0000  0.2118  0.0000 (multiplicity 2)  2 O 1.95
As  0.0000  0.4303  0.5077 (multiplicity 2)  2 Pd 2.41
Pd  0.5000  0.2044  0.5179 (multiplicity 2)  1 O 2.27, 2 As 2.41
O  0.5000  0.0902  0.0616 (multiplicity 2)  2 Sc 1.95


5.
DFT (PBE) results for a relaxed SmAsPdO crystal.

total energy: -50.59 eV/cell
size of the total moment: 0.0009 μB/atom

Lattice parameters (Å, degrees): 4.6079 4.2089 7.2333 90.00 90.00 90.00
Closest atoms and distances in Å follow each position.
Space group Pmc2_1 (No. 26)
Asymmetric unit:
Sm  0.0000  0.2386  0.0000 (multiplicity 2)  3 O 2.42-2.43
As  0.5000  0.2347  0.6702 (multiplicity 2)  3 Pd 2.42-2.43
Pd  0.5000  0.2666  0.3357 (multiplicity 2)  2 O 2.30, 3 As 2.42-2.43
O  0.0000  0.2624  0.3343 (multiplicity 2)  2 Pd 2.30, 3 Sm 2.42-2.43


6.
DFT (PBE) results for a relaxed SmAsPdO crystal.

total energy: -49.65 eV/cell
size of the total moment: 0.0007 μB/atom

Lattice parameters (Å, degrees): 3.6091 7.9677 5.6356 90.00 90.00 90.00
Closest atoms and distances in Å follow each position.
Space group Pmc2_1 (No. 26)
Asymmetric unit:
Sm  0.0000  0.2094  0.0000 (multiplicity 2)  2 O 2.14
As  0.0000  0.4157  0.4977 (multiplicity 2)  2 Pd 2.42
Pd  0.5000  0.2131  0.5049 (multiplicity 2)  1 O 2.22, 2 As 2.42
O  0.5000  0.0650  0.0170 (multiplicity 2)  2 Sm 2.14, 1 Pd 2.22


7.
DFT (PBE) results for a relaxed SnAsPdO crystal.

total energy: -40.91 eV/cell

Lattice parameters (Å, degrees): 4.1614 6.8831 5.5059 90.00 90.00 90.00
Closest atoms and distances in Å follow each position.
Space group Pmc2_1 (No. 26)
Asymmetric unit:
Sn  0.0000  0.1951  0.0000 (multiplicity 2)  2 O 2.04-2.08
As  0.5000  0.3730  0.7694 (multiplicity 2)  2 Pd 2.40-2.48
Pd  0.5000  0.2821  0.3338 (multiplicity 2)  2 As 2.40-2.48, 2 O 2.52
O  0.0000  0.0752  0.3468 (multiplicity 2)  2 Sn 2.04-2.08


8.
DFT (PBE) results for a relaxed SnAsPdO crystal.

total energy: -42.96 eV/cell

Lattice parameters (Å, degrees): 3.9604 3.9604 9.7976 90.00 90.00 90.00
Closest atoms and distances in Å follow each position.
Space group P4/nmm (No. 129, origin choice 2)
Asymmetric unit:
Sn  0.2500  0.2500  0.1155 (multiplicity 2)  4 O 2.28
As  0.2500  0.2500  0.6541 (multiplicity 2)  4 Pd 2.49
Pd  0.2500  0.7500  0.5000 (multiplicity 2)  4 As 2.49
O  0.2500  0.7500  0.0000 (multiplicity 2)  4 Sn 2.28